1.
# PBE Ac2MgCu, optimized geometry
# - ρ: 7.3 g cm⁻³
# - Calculated formation energy: -0.068 eV/atom
# - Total energy: -14.2 eV per cell
data_Ac2MgCu
_chemical_formula_sum 'Ac2 Mg1 Cu1'
_symmetry_space_group_name_H-M 'P 1'
_symmetry_Int_Tables_number 1
_cell_length_a 3.931
_cell_length_b 3.931
_cell_length_c 8.025
_cell_angle_alpha 90.00
_cell_angle_beta 90.00
_cell_angle_gamma 90.00
loop_
_symmetry_equiv_pos_as_xyz
'x,y,z'
loop_
_atom_site_label
_atom_site_fract_x
_atom_site_fract_y
_atom_site_fract_z
Ac1 0.000 0.000 0.227
Ac2 0.000 0.000 0.773
Mg1 0.500 0.500 0.500
Cu1 0.500 0.500 0.000

2.
# PBE Ac3Mg4Cu4, optimized geometry
# - ρ: 6.4 g cm⁻³
# - Calculated formation energy: -0.128 eV/atom
# - Total energy: -36.5 eV per cell
data_Ac3Mg4Cu4
_chemical_formula_sum 'Ac3 Mg4 Cu4'
_symmetry_space_group_name_H-M 'P 1'
_symmetry_Int_Tables_number 1
_cell_length_a 8.916
_cell_length_b 8.916
_cell_length_c 8.916
_cell_angle_alpha 152.20
_cell_angle_beta 125.14
_cell_angle_gamma 62.61
loop_
_symmetry_equiv_pos_as_xyz
'x,y,z'
loop_
_atom_site_label
_atom_site_fract_x
_atom_site_fract_y
_atom_site_fract_z
Ac1 0.000 0.000 0.000
Ac2 0.381 0.881 0.500
Ac3 0.619 0.119 0.500
Mg1 0.011 0.324 0.687
Mg2 0.364 0.676 0.687
Mg3 0.636 0.324 0.313
Mg4 0.989 0.676 0.313
Cu1 0.226 0.226 0.000
Cu2 0.307 0.500 0.807
Cu3 0.693 0.500 0.193
Cu4 0.774 0.774 0.000